No. 1
A plane-wave DFT calculation with PBE was carried out for crystalline OsPtW2 at its relaxed geometry.

```
8
Lattice="7.1036 0.0000 0.0000 0.0000 7.1036 0.0000 3.5518 3.5518 2.7280" Properties=species:S:1:pos:R:3 pbc="T T T"
Os 3.5518 3.5518 0.0000
Os 3.5518 7.1036 1.3640
W 1.9184 5.3277 0.6820
W 5.3277 5.4702 2.0460
W 5.1852 1.7759 0.6820
W 8.8795 8.7370 2.0460
Pt 7.1036 3.5518 1.3640
Pt 0.0000 0.0000 0.0000
```

Results
Formation energy from the elements (eV per formula unit): 2.623
Electronic total energy (Ha/atom): -0.3726
Magnetization (μB per cell): 0.00
Crystal system: tetragonal
N(E_F) (states/eV per cell): 7.49


No. 2
A plane-wave DFT calculation with PBE was carried out for crystalline OsPtW2 at its relaxed geometry.

```
4
Lattice="-0.6920 0.1803 -2.6850 -2.2053 -1.6267 0.4591 -4.4887 6.5357 1.5956" Properties=species:S:1:pos:R:3 pbc="T T T"
W -2.6314 0.9990 -0.6925
W -4.4672 6.5044 1.5880
Os -2.2058 3.2117 0.7841
Pt -4.8145 4.1777 0.0836
```

Results
Formation energy from the elements (eV per formula unit): 0.171
Electronic total energy (Ha/atom): -0.3951
Magnetization (μB per cell): 0.00
Crystal system: tetragonal
N(E_F) (states/eV per cell): 3.04


No. 3
A plane-wave DFT calculation with PBE was carried out for crystalline Os2PtW at its relaxed geometry.

```
4
Lattice="-8.9979 1.6403 1.1964 -9.1944 -0.5050 -0.5404 -8.9135 -0.9460 2.1769" Properties=species:S:1:pos:R:3 pbc="T T T"
Pt -13.5608 0.0947 1.4173
Os -27.0595 0.1890 2.8281
Os -6.8449 0.0478 0.7154
W -20.2994 0.1418 2.1215
```

Results
Formation energy from the elements (eV per formula unit): 0.345
Electronic total energy (Ha/atom): -0.3777
Magnetization (μB per cell): 0.00
Crystal system: trigonal
N(E_F) (states/eV per cell): 3.46


What did the third record say?
A plane-wave DFT calculation with PBE was carried out for crystalline Os2PtW at its relaxed geometry.

```
4
Lattice="-8.9979 1.6403 1.1964 -9.1944 -0.5050 -0.5404 -8.9135 -0.9460 2.1769" Properties=species:S:1:pos:R:3 pbc="T T T"
Pt -13.5608 0.0947 1.4173
Os -27.0595 0.1890 2.8281
Os -6.8449 0.0478 0.7154
W -20.2994 0.1418 2.1215
```

Results
Formation energy from the elements (eV per formula unit): 0.345
Electronic total energy (Ha/atom): -0.3777
Magnetization (μB per cell): 0.00
Crystal system: trigonal
N(E_F) (states/eV per cell): 3.46


What is the formation energy from the elements in the second record? 0.171 eV per formula unit